DFT (GGA-PBE) results for IrPd2Br6 after structural relaxation.

Values from the calculation:
ΔE_f (raw)   -0.0983 eV/atom

Lattice parameters (Å, degrees): 3.6746 8.1945 10.5137 110.85 90.00 102.96
Positions (direct):
Br: 0.8484 0.6968 0.8507
Pd: 0.2426 0.4852 0.8143
Br: 0.0776 0.1551 0.7546
Br: 0.6008 0.2015 0.4780
Br: 0.9224 0.8449 0.2454
Ir: 0.0000 0.0000 0.5000
Br: 0.1516 0.3032 0.1493
Pd: 0.7574 0.5148 0.1857
Br: 0.3992 0.7985 0.5220

DFT (GGA-PBE) results for GaNi2Ru after structural relaxation.

Values from the calculation:
E_form   -7.7 kJ per mole of atoms

Lattice parameters (Å, degrees): 2.6584 2.6584 7.0345 90.00 90.00 90.00
Positions (direct):
Ni: 0.0000 0.0000 0.2437
Ni: 0.0000 0.0000 0.7563
Ga: 0.5000 0.5000 0.0000
Ru: 0.5000 0.5000 0.5000

DFT (GGA-PBE) results for BaNa2TlPt after structural relaxation.

Values from the calculation:
E_form   -13.9 kJ per mole of atoms

Lattice parameters (Å, degrees): 5.5466 5.5466 5.3268 90.00 90.00 90.00
Positions (direct):
Ba: 0.5000 0.5000 0.5000
Pt: 0.0000 0.0000 0.0000
Na: 0.5000 0.0000 0.0000
Na: 0.0000 0.5000 0.0000
Tl: 0.0000 0.0000 0.5000

DFT (GGA-PBE) results for CdCo2Ru after structural relaxation.

Values from the calculation:
E_form   34.7 kJ per mole of atoms

Lattice parameters (Å, degrees): 5.1795 5.1795 5.1795 148.60 128.94 61.18
Positions (direct):
Ru: 0.4775 0.4775 0.0000
Co: 0.0242 0.0242 0.0000
Cd: 0.7584 0.2584 0.5000
Co: 0.2399 0.7399 0.5000

DFT (GGA-PBE) results for KPaCl14 after structural relaxation.

Values from the calculation:
ΔE_f (raw)   -0.8667 eV/atom

Lattice parameters (Å, degrees): 8.9286 8.5422 10.5598 87.47 84.31 123.68
Positions (direct):
Cl: 0.7419 0.3143 0.5434
Cl: 0.9954 0.2666 0.7889
Cl: 0.4437 0.0703 0.5824
Cl: 0.4490 0.5693 0.4597
Cl: 0.5826 0.6620 0.6387
Cl: 0.9441 0.6411 0.4173
Cl: 0.2754 0.3687 0.3406
Cl: 0.1438 0.2255 0.0782
Cl: 0.6901 0.0263 0.2526
Cl: 0.1737 0.8500 0.3020
Cl: 0.1899 0.8590 0.6999
Cl: 0.9369 0.4817 0.0531
Cl: 0.7307 0.8049 0.9777
K: 0.3350 0.6452 0.8882
Cl: 0.5340 0.0731 0.9567
Pa: 0.8339 0.1420 0.0207

DFT (GGA-PBE) results for FeOs3Rh after structural relaxation.

Values from the calculation:
Distance to the lowest polymorph of the same formula   0.000 eV/atom
E_form   170.4 kJ per mole of atoms

Lattice parameters (Å, degrees): 4.3535 4.3535 4.3535 90.00 90.00 90.00
Positions (direct):
Os: 0.5000 0.0000 0.0000
Os: 0.0000 0.0000 0.5000
Os: 0.0000 0.5000 0.0000
Fe: 0.0000 0.0000 0.0000
Rh: 0.5000 0.5000 0.5000